[1]
A relaxed Ho6Al43Mo4 crystal, computed with PBE-GGA.

Computed properties:
Total energy   -4.69 eV/atom
ΔH_f (0 K)   -0.32 eV per atom

a = 11.0081 Å, b = 11.0081 Å, c = 17.6510 Å
α = 90.00°, β = 90.00°, γ = 120.00°
Space group P6_3/mcm (No. 193)
One atom of each set of equivalent atoms:
Ho 0.0000 0.4695 0.0952
Al 0.0000 0.1474 0.7500
Al 0.0000 0.1591 0.1148
Al 0.0000 0.2539 0.5307
Al 0.1468 0.5516 0.2500
Al 0.1577 0.3939 0.6637
Al 0.2465 0.4930 0.0000
Al 0.3333 0.6667 0.1256
Mo 0.0000 0.0000 0.0000
Mo 0.0000 0.2708 0.2500

[2]
A relaxed Cs2U2CrS6 crystal, computed with PBE-GGA.

Computed properties:
Energy relative to the elements, uncorrected   -13.41 eV per formula unit
Total energy   -6.55 eV/atom

a = 6.7859 Å, b = 11.7492 Å, c = 8.5489 Å
α = 90.00°, β = 105.24°, γ = 90.00°
Space group C2/m (No. 12)
One atom of each set of equivalent atoms:
Cs 0.0000 0.1649 0.0000
U 0.0000 0.3332 0.5000
Cr 0.0000 0.0000 0.5000
S 0.2216 0.1632 0.6747
S 0.2422 0.5000 0.6674

[3]
A relaxed NaLiP2H crystal, computed with PBE-GGA.

Computed properties:
Total energy   -2.55 eV/atom

a = 5.2084 Å, b = 5.2084 Å, c = 3.4244 Å
α = 90.00°, β = 90.00°, γ = 90.00°
Space group P4/mmm (No. 123)
One atom of each set of equivalent atoms:
Na 0.0000 0.0000 0.0000
Li 0.5000 0.5000 0.5000
P 0.0000 0.5000 0.0000
H 0.0000 0.0000 0.5000

[4]
A relaxed RbMn2HgCl crystal, computed with PBE-GGA.

Computed properties:
Energy relative to the elements, uncorrected   1.59 eV per formula unit
Total energy   -3.97 eV/atom

a = 5.1544 Å, b = 5.1544 Å, c = 6.9080 Å
α = 90.00°, β = 90.00°, γ = 90.00°
Space group P4/mmm (No. 123)
One atom of each set of equivalent atoms:
Rb 0.0000 0.0000 0.0000
Mn 0.0000 0.5000 0.5000
Hg 0.5000 0.5000 0.5000
Cl 0.5000 0.5000 0.0000

[5]
A relaxed Na3Au crystal, computed with PBE-GGA.

Computed properties:
Total energy   -1.89 eV/atom
ΔH_f (0 K)   -0.09 eV per atom

a = 4.1098 Å, b = 4.1098 Å, c = 16.3392 Å
α = 90.00°, β = 90.00°, γ = 90.00°
Space group I4/mmm (No. 139)
One atom of each set of equivalent atoms:
Na 0.0000 0.0000 0.0000
Na 0.0000 0.0000 0.3217
Au 0.0000 0.0000 0.5000

[6]
A relaxed HfZnIO2 crystal, computed with PBE-GGA.

Computed properties:
Energy relative to the elements, uncorrected   -7.74 eV per formula unit
Total energy   -6.09 eV/atom
Offset from the most stable computed form   0.000 eV/atom

a = 4.0697 Å, b = 4.0697 Å, c = 6.1214 Å
α = 90.00°, β = 90.00°, γ = 90.00°
Space group P4/mmm (No. 123)
One atom of each set of equivalent atoms:
Hf 0.0000 0.0000 0.0000
Zn 0.5000 0.5000 0.5000
I 0.0000 0.0000 0.5000
O 0.0000 0.5000 0.0000

These records have spin magnetization values of 0.0; 8.0; 0.3; 9.2; 0.0; 0.0 μB per formula unit, in the order they appear.